This record from the Alexandria database describes crystalline CdCuPt2 at its relaxed geometry. The functional is PBE.

Symmetry: Cmmm, No. 65
Formation energy in eV/atom: -0.18
Spin magnetization in μB per formula unit: 0.00
Energy in eV per cell: -17.79

Cell: 4.803 4.803 2.879 Å, 90.00 90.00 107.10°
Sites, in units of the cell vectors:
Pt (0.500, 0.500, 0.000)
Pt (0.000, 0.000, 0.000)
Cd (0.500, 0.000, 0.500)
Cu (0.000, 0.500, 0.500)